A relaxed structure of TiRuF3, computed with PBE.

```
data_TiRuF3
_chemical_formula_sum 'Ti1 Ru1 F3'
_cell_length_a 4.091
_cell_length_b 4.091
_cell_length_c 4.091
_cell_angle_alpha 90.00
_cell_angle_beta 90.00
_cell_angle_gamma 90.00
_symmetry_space_group_name_H-M 'P m -3 m'
_symmetry_Int_Tables_number 221
_symmetry_space_group_name_Hall '-P 4 2 3'
loop_
_atom_site_label
_atom_site_type_symbol
_atom_site_fract_x
_atom_site_fract_y
_atom_site_fract_z
_atom_site_occupancy
Ti1 Ti 0.000 0.000 0.000 1
Ru1 Ru 0.500 0.500 0.500 1
F1 F 0.000 0.000 0.500 1
```

Properties
E above lowest polymorph ... 0.0000 eV per atom
Formation energy from raw total energies ... -1369.2 meV/atom
Total energy ... -29.63 eV/f.u.
V ... 68.5 Å³/f.u.